[1]
ZnSbTe2: optimized geometry, GGA-PBE.

The structure in POSCAR format:
```
ZnSbTe2
1.0
4.926 0.000 0.000
0.000 3.969 0.000
-2.311 0.000 6.378
Zn Sb Te
1 1 2
Cartesian
0.000 0.000 0.000
-0.345 1.985 5.610
1.224 0.000 3.976
3.767 1.985 1.439
```

M_tot, Bohr magnetons per cell: 0.00
Formation energy from raw total energies, meV/atom: -47
Symmetry: Pm
Relative energy among the computed polymorphs, meV per atom: 50
Crystal system: monoclinic



[2]
YHoTc: optimized geometry, GGA-PBE.

The structure in POSCAR format:
```
YHoTc
1.0
3.354 -6.056 0.000
3.354 6.056 0.000
0.000 0.000 7.768
Y Ho Tc
4 4 4
Cartesian
3.354 3.732 6.917
3.354 2.324 3.033
3.354 -2.324 4.735
3.354 -3.732 0.851
1.677 0.602 5.826
1.677 -0.602 1.942
5.031 0.602 5.826
5.031 -0.602 1.942
3.354 4.875 4.218
3.354 1.182 0.334
3.354 -1.182 7.434
3.354 -4.875 3.550
```

M_tot, Bohr magnetons per cell: 0.00
Symmetry: Cmce
Relative energy among the computed polymorphs, meV per atom: 101
Energy of formation from the pure elements, eV/atom: 0.06
Crystal system: orthorhombic



[3]
La6GeSb5: optimized geometry, GGA-PBE.

The structure in POSCAR format:
```
La6GeSb5
1.0
3.983 -6.894 0.000
3.983 6.894 0.000
-2.656 0.000 7.489
La Ge Sb
6 1 5
Cartesian
-0.031 2.248 5.573
1.268 0.000 1.895
-0.031 -2.248 5.573
5.340 2.248 1.915
4.040 0.000 5.594
5.340 -2.248 1.915
-1.328 0.000 3.744
3.983 4.545 0.000
2.654 2.287 3.744
3.983 0.000 0.000
2.654 -2.287 3.744
3.983 -4.545 0.000
```

M_tot, Bohr magnetons per cell: 0.00
Formation energy from raw total energies, meV/atom: -1157
Symmetry: C2/m
Crystal system: monoclinic



| no. | density (g/cm³) |
| --- | --- |
| 1 | 5.89 |
| 2 | 7.40 |
| 3 | 6.12 |